[1]
Here is a geometry-optimized CoReHg2 structure from Alexandria via LeMat-Bulk. Energies are from PBE.

Lattice parameters (Å, degrees): 5.067 5.067 2.830 90.00 90.00 110.69
Positions (direct):
Co: 0.000 0.000 0.000
Re: 0.500 0.500 0.000
Hg: 0.000 0.500 0.500
Hg: 0.500 0.000 0.500

Summary:
The calculation puts the energy above the most stable polymorph in this dataset at 449 meV/atom.

***

[2]
Here is a geometry-optimized CoRe2Hg structure from Alexandria via LeMat-Bulk. Energies are from PBE.

Lattice parameters (Å, degrees): 4.691 2.804 4.864 90.00 108.06 90.00
Positions (direct):
Co: 0.000 0.000 0.000
Re: 0.000 0.500 0.500
Re: 0.500 0.000 0.500
Hg: 0.500 0.500 0.000

***

[3]
Here is a geometry-optimized CoReHg4 structure from Alexandria via LeMat-Bulk. Energies are from PBE.

Lattice parameters (Å, degrees): 5.588 5.588 5.588 60.00 60.00 60.00
Positions (direct):
Co: 0.000 0.000 0.000
Re: 0.250 0.250 0.250
Hg: 0.125 0.625 0.625
Hg: 0.625 0.125 0.625
Hg: 0.625 0.625 0.125
Hg: 0.625 0.625 0.625

***

[4]
Here is a geometry-optimized CoReHg2 structure from Alexandria via LeMat-Bulk. Energies are from PBE.

Lattice parameters (Å, degrees): 4.963 4.963 5.100 101.40 101.40 33.47
Positions (direct):
Co: 0.000 0.000 0.000
Re: 0.500 0.500 0.500
Hg: 0.257 0.257 0.756
Hg: 0.743 0.743 0.244

Summary:
The calculation puts the energy above the most stable polymorph in this dataset at 452 meV/atom.

***

[5]
Here is a geometry-optimized CoReHg2 structure from Alexandria via LeMat-Bulk. Energies are from PBE.

Lattice parameters (Å, degrees): 9.350 9.350 9.350 17.93 17.93 17.93
Positions (direct):
Co: 0.000 0.000 0.000
Re: 0.500 0.500 0.500
Hg: 0.254 0.254 0.254
Hg: 0.746 0.746 0.746

Summary:
The calculation puts the energy above the most stable polymorph in this dataset at 372 meV/atom.

***

[6]
Here is a geometry-optimized CoReHg2 structure from Alexandria via LeMat-Bulk. Energies are from PBE.

Lattice parameters (Å, degrees): 4.579 4.579 4.579 60.00 60.00 60.00
Positions (direct):
Co: 0.000 0.000 0.000
Re: 0.500 0.500 0.500
Hg: 0.250 0.250 0.250
Hg: 0.750 0.750 0.750

Summary:
The calculation puts the energy above the most stable polymorph in this dataset at 604 meV/atom.

***

[7]
Here is a geometry-optimized CoReHg2 structure from Alexandria via LeMat-Bulk. Energies are from PBE.

Lattice parameters (Å, degrees): 4.047 4.047 4.145 90.00 90.00 90.00
Positions (direct):
Co: 0.000 0.000 0.000
Re: 0.500 0.500 0.000
Hg: 0.000 0.500 0.500
Hg: 0.500 0.000 0.500

Summary:
The calculation puts the energy above the most stable polymorph in this dataset at 499 meV/atom.

***

[8]
Here is a geometry-optimized CoRe2Hg structure from Alexandria via LeMat-Bulk. Energies are from PBE.

Lattice parameters (Å, degrees): 3.143 4.265 4.582 90.00 90.00 90.00
Positions (direct):
Co: 0.000 0.000 0.000
Re: 0.000 0.500 0.500
Re: 0.500 0.000 0.500
Hg: 0.500 0.500 0.000

***

[9]
Here is a geometry-optimized CoReHg structure from Alexandria via LeMat-Bulk. Energies are from PBE.

Lattice parameters (Å, degrees): 2.811 2.811 6.841 90.00 90.00 120.00
Positions (direct):
Co: 0.000 0.000 0.000
Re: 0.333 0.667 0.721
Hg: 0.667 0.333 0.340

Summary:
The calculation puts the energy above the most stable polymorph in this dataset at 67 meV/atom.

***

[10]
Here is a geometry-optimized CoReHg structure from Alexandria via LeMat-Bulk. Energies are from PBE.

Lattice parameters (Å, degrees): 4.127 4.127 4.127 60.00 60.00 60.00
Positions (direct):
Co: 0.000 0.000 0.000
Re: 0.750 0.750 0.750
Hg: 0.250 0.250 0.250

Summary:
The calculation puts the energy above the most stable polymorph in this dataset at 365 meV/atom.

***

[11]
Here is a geometry-optimized CoRe2Hg structure from Alexandria via LeMat-Bulk. Energies are from PBE.

Lattice parameters (Å, degrees): 2.810 3.853 5.767 90.00 90.00 90.00
Positions (direct):
Co: 0.000 0.000 0.000
Re: 0.000 0.000 0.573
Re: 0.500 0.500 0.774
Hg: 0.500 0.500 0.262

***

[12]
Here is a geometry-optimized CoReHg2 structure from Alexandria via LeMat-Bulk. Energies are from PBE.

Lattice parameters (Å, degrees): 2.791 4.517 5.542 90.00 102.79 90.00
Positions (direct):
Co: 0.000 0.000 0.000
Re: 0.500 0.000 0.500
Hg: 0.177 0.500 0.757
Hg: 0.823 0.500 0.243

Summary:
The calculation puts the energy above the most stable polymorph in this dataset at 497 meV/atom.

***

[13]
Here is a geometry-optimized CoRe4Hg structure from Alexandria via LeMat-Bulk. Energies are from PBE.

Lattice parameters (Å, degrees): 5.205 5.205 5.205 60.00 60.00 60.00
Positions (direct):
Co: 0.000 0.000 0.000
Re: 0.375 0.375 0.375
Re: 0.375 0.375 0.875
Re: 0.375 0.875 0.375
Re: 0.875 0.375 0.375
Hg: 0.750 0.750 0.750

***

[14]
Here is a geometry-optimized CoRe2Hg structure from Alexandria via LeMat-Bulk. Energies are from PBE.

Lattice parameters (Å, degrees): 4.432 4.432 4.432 60.00 60.00 60.00
Positions (direct):
Co: 0.000 0.000 0.000
Re: 0.500 0.500 0.500
Re: 0.750 0.750 0.750
Hg: 0.250 0.250 0.250

***

[15]
Here is a geometry-optimized CoReHg2 structure from Alexandria via LeMat-Bulk. Energies are from PBE.

Lattice parameters (Å, degrees): 4.968 4.968 4.968 131.25 131.25 71.41
Positions (direct):
Co: 0.000 0.000 0.000
Re: 0.750 0.250 0.500
Hg: 0.250 0.750 0.500
Hg: 0.500 0.500 0.000

Summary:
The calculation puts the energy above the most stable polymorph in this dataset at 555 meV/atom.

***

[16]
Here is a geometry-optimized CoReHg2 structure from Alexandria via LeMat-Bulk. Energies are from PBE.

Lattice parameters (Å, degrees): 5.576 5.576 4.942 111.27 111.27 29.06
Positions (direct):
Co: 0.000 0.000 0.000
Re: 0.691 0.691 0.295
Hg: 0.240 0.240 0.832
Hg: 0.455 0.455 0.467

Summary:
The calculation puts the energy above the most stable polymorph in this dataset at 316 meV/atom.

***

[17]
Here is a geometry-optimized CoRe2Hg structure from Alexandria via LeMat-Bulk. Energies are from PBE.

Lattice parameters (Å, degrees): 4.735 4.735 4.958 99.95 99.95 34.57
Positions (direct):
Co: 0.000 0.000 0.000
Re: 0.268 0.268 0.766
Re: 0.520 0.520 0.578
Hg: 0.757 0.757 0.258

***

[18]
Here is a geometry-optimized CoReHg2 structure from Alexandria via LeMat-Bulk. Energies are from PBE.

Lattice parameters (Å, degrees): 10.221 10.221 10.221 158.09 158.09 31.18
Positions (direct):
Co: 0.000 0.000 0.000
Co: 0.750 0.250 0.500
Re: 0.250 0.750 0.500
Re: 0.500 0.500 0.000
Hg: 0.123 0.625 0.998
Hg: 0.375 0.373 0.498
Hg: 0.627 0.125 0.002
Hg: 0.875 0.877 0.502

Summary:
The calculation puts the energy above the most stable polymorph in this dataset at 762 meV/atom.

***

[19]
Here is a geometry-optimized CoRe2Hg structure from Alexandria via LeMat-Bulk. Energies are from PBE.

Lattice parameters (Å, degrees): 5.515 5.515 2.775 103.86 103.86 121.54
Positions (direct):
Co: 0.000 0.000 0.000
Re: 0.000 0.500 0.500
Re: 0.500 0.000 0.500
Hg: 0.500 0.500 0.000

***

[20]
Here is a geometry-optimized CoReHg2 structure from Alexandria via LeMat-Bulk. Energies are from PBE.

Lattice parameters (Å, degrees): 2.819 2.819 8.478 90.00 90.00 90.00
Positions (direct):
Co: 0.000 0.000 0.000
Re: 0.000 0.000 0.500
Hg: 0.500 0.500 0.233
Hg: 0.500 0.500 0.767

Summary:
The calculation puts the energy above the most stable polymorph in this dataset at 462 meV/atom.

***

[21]
Here is a geometry-optimized Co2ReHgRh structure from Alexandria via LeMat-Bulk. Energies are from PBE.

Lattice parameters (Å, degrees): 4.572 4.572 4.672 90.00 90.00 90.00
Positions (direct):
Co: 0.000 0.500 0.000
Co: 0.500 0.000 0.000
Re: 0.000 0.000 0.500
Hg: 0.500 0.500 0.500
Rh: 0.000 0.000 0.000

***

[22]
Here is a geometry-optimized CoHgRh structure from Alexandria via LeMat-Bulk. Energies are from PBE.

Lattice parameters (Å, degrees): 5.896 5.896 5.896 151.55 151.55 40.67
Positions (direct):
Co: 0.000 0.000 0.000
Hg: 0.677 0.677 0.000
Rh: 0.366 0.366 0.000

Summary:
The calculation puts the energy above the most stable polymorph in this dataset at 0 meV/atom.

***

[23]
Here is a geometry-optimized CoHg2Rh structure from Alexandria via LeMat-Bulk. Energies are from PBE.

Lattice parameters (Å, degrees): 2.963 2.963 7.967 90.00 90.00 90.00
Positions (direct):
Co: 0.000 0.000 0.000
Hg: 0.000 0.000 0.565
Hg: 0.500 0.500 0.238
Rh: 0.500 0.500 0.821

Summary:
The calculation puts the energy above the most stable polymorph in this dataset at 0 meV/atom.

***

[24]
Here is a geometry-optimized CoHgRh2 structure from Alexandria via LeMat-Bulk. Energies are from PBE.

Lattice parameters (Å, degrees): 4.432 4.432 4.432 60.00 60.00 60.00
Positions (direct):
Co: 0.000 0.000 0.000
Hg: 0.250 0.250 0.250
Rh: 0.500 0.500 0.500
Rh: 0.750 0.750 0.750

***

[25]
Here is a geometry-optimized CoHgRh2 structure from Alexandria via LeMat-Bulk. Energies are from PBE.

Lattice parameters (Å, degrees): 2.873 4.591 4.652 90.00 90.00 90.00
Positions (direct):
Co: 0.000 0.000 0.000
Hg: 0.500 0.000 0.500
Rh: 0.000 0.500 0.500
Rh: 0.500 0.500 0.000

***

[26]
Here is a geometry-optimized CoHg2Rh structure from Alexandria via LeMat-Bulk. Energies are from PBE.

Lattice parameters (Å, degrees): 3.009 4.310 5.554 90.00 105.50 90.00
Positions (direct):
Co: 0.000 0.000 0.000
Hg: 0.275 0.000 0.549
Hg: 0.608 0.500 0.220
Rh: 0.883 0.500 0.767

Summary:
The calculation puts the energy above the most stable polymorph in this dataset at 127 meV/atom.

***

[27]
Here is a geometry-optimized CoHgRh structure from Alexandria via LeMat-Bulk. Energies are from PBE.

Lattice parameters (Å, degrees): 4.322 4.322 2.917 90.00 90.00 120.00
Positions (direct):
Co: 0.000 0.000 0.000
Hg: 0.333 0.667 0.497
Rh: 0.667 0.333 0.996

Summary:
The calculation puts the energy above the most stable polymorph in this dataset at 113 meV/atom.

***

[28]
Here is a geometry-optimized CoHgRh2 structure from Alexandria via LeMat-Bulk. Energies are from PBE.

Lattice parameters (Å, degrees): 2.814 2.814 7.609 90.00 90.00 90.00
Positions (direct):
Co: 0.000 0.000 0.000
Hg: 0.500 0.500 0.265
Rh: 0.000 0.000 0.548
Rh: 0.500 0.500 0.790

***

[29]
Here is a geometry-optimized CoHgRh structure from Alexandria via LeMat-Bulk. Energies are from PBE.

Lattice parameters (Å, degrees): 4.191 4.191 4.191 60.00 60.00 60.00
Positions (direct):
Co: 0.000 0.000 0.000
Hg: 0.250 0.250 0.250
Rh: 0.750 0.750 0.750

Summary:
The calculation puts the energy above the most stable polymorph in this dataset at 245 meV/atom.

***

[30]
Here is a geometry-optimized CoHgRh2 structure from Alexandria via LeMat-Bulk. Energies are from PBE.

Lattice parameters (Å, degrees): 4.774 4.774 4.774 130.94 130.94 71.91
Positions (direct):
Co: 0.000 0.000 0.000
Hg: 0.500 0.500 0.000
Rh: 0.250 0.750 0.500
Rh: 0.750 0.250 0.500

***

[31]
Here is a geometry-optimized CoHgRh2 structure from Alexandria via LeMat-Bulk. Energies are from PBE.

Lattice parameters (Å, degrees): 8.985 8.985 8.985 18.08 18.08 18.08
Positions (direct):
Co: 0.000 0.000 0.000
Hg: 0.500 0.500 0.500
Rh: 0.259 0.259 0.259
Rh: 0.741 0.741 0.741

***

Number 1: formation energy 0.844 eV per atom, total magnetization 2.09 Bohr magnetons per cell, DFT total energy -4.195 eV/atom. Number 2: formation energy 0.655 eV per atom, total magnetization 1.15 Bohr magnetons per cell, DFT total energy -7.421 eV/atom. Number 3: formation energy 1.252 eV per atom, total magnetization 4.56 Bohr magnetons per cell, DFT total energy -2.209 eV/atom. Number 4: formation energy 0.846 eV per atom, total magnetization 1.83 Bohr magnetons per cell, DFT total energy -4.193 eV/atom. Number 5: formation energy 0.766 eV per atom, total magnetization 1.72 Bohr magnetons per cell, DFT total energy -4.273 eV/atom. Number 6: formation energy 0.999 eV per atom, total magnetization 2.84 Bohr magnetons per cell, DFT total energy -4.040 eV/atom. Number 7: formation energy 0.894 eV per atom, total magnetization 2.84 Bohr magnetons per cell, DFT total energy -4.145 eV/atom. Number 8: formation energy 0.741 eV per atom, total magnetization 1.19 Bohr magnetons per cell, DFT total energy -7.335 eV/atom. Number 9: formation energy 0.499 eV per atom, total magnetization 1.12 Bohr magnetons per cell, DFT total energy -6.119 eV/atom. Number 10: formation energy 0.797 eV per atom, total magnetization 0.00 Bohr magnetons per cell, DFT total energy -5.821 eV/atom. Number 11: formation energy 0.490 eV per atom, total magnetization 1.50 Bohr magnetons per cell, DFT total energy -7.586 eV/atom. Number 12: formation energy 0.891 eV per atom, total magnetization 2.11 Bohr magnetons per cell, DFT total energy -4.148 eV/atom. Number 13: formation energy 0.827 eV per atom, total magnetization 1.94 Bohr magnetons per cell, DFT total energy -8.707 eV/atom. Number 14: formation energy 0.738 eV per atom, total magnetization 1.50 Bohr magnetons per cell, DFT total energy -7.338 eV/atom. Number 15: formation energy 0.949 eV per atom, total magnetization 2.72 Bohr magnetons per cell, DFT total energy -4.090 eV/atom. Number 16: formation energy 0.711 eV per atom, total magnetization 1.37 Bohr magnetons per cell, DFT total energy -4.328 eV/atom. Number 17: formation energy 0.591 eV per atom, total magnetization 1.21 Bohr magnetons per cell, DFT total energy -7.485 eV/atom. Number 18: formation energy 1.157 eV per atom, total magnetization 5.33 Bohr magnetons per cell, DFT total energy -3.882 eV/atom. Number 19: formation energy 0.785 eV per atom, total magnetization 1.76 Bohr magnetons per cell, DFT total energy -7.291 eV/atom. Number 20: formation energy 0.857 eV per atom, total magnetization 1.64 Bohr magnetons per cell, DFT total energy -4.183 eV/atom. Number 21: formation energy 1.543 eV per atom, total magnetization 5.66 Bohr magnetons per cell, DFT total energy -5.320 eV/atom. Number 22: formation energy 0.231 eV per atom, total magnetization 2.47 Bohr magnetons per cell, DFT total energy -4.689 eV/atom. Number 23: formation energy 0.228 eV per atom, total magnetization 2.53 Bohr magnetons per cell, DFT total energy -3.538 eV/atom. Number 24: formation energy 0.385 eV per atom, total magnetization 3.24 Bohr magnetons per cell, DFT total energy -5.143 eV/atom. Number 25: formation energy 0.381 eV per atom, total magnetization 2.63 Bohr magnetons per cell, DFT total energy -5.146 eV/atom. Number 26: formation energy 0.355 eV per atom, total magnetization 2.29 Bohr magnetons per cell, DFT total energy -3.410 eV/atom. Number 27: formation energy 0.344 eV per atom, total magnetization 2.44 Bohr magnetons per cell, DFT total energy -4.576 eV/atom. Number 28: formation energy 0.230 eV per atom, total magnetization 1.81 Bohr magnetons per cell, DFT total energy -5.297 eV/atom. Number 29: formation energy 0.475 eV per atom, total magnetization 2.29 Bohr magnetons per cell, DFT total energy -4.445 eV/atom. Number 30: formation energy 0.274 eV per atom, total magnetization 3.28 Bohr magnetons per cell, DFT total energy -5.254 eV/atom. Number 31: formation energy 0.226 eV per atom, total magnetization 3.27 Bohr magnetons per cell, DFT total energy -5.301 eV/atom.